# 1
YTlC2O6 PBE-GGA optimized geometry; VASP energy = -7.6324 eV per atom; space-group type = No. 15; theoretical density = 4.87 Mg/m³; uncorrected formation energy = -1.930 eV/atom
1.0
-4.707 1.629 -4.141
-4.061 -2.778 4.212
1.865 6.233 3.145
O Tl C Y
12 2 4 2
Cartesian
-2.057 5.664 1.871
-5.904 1.359 1.455
-1.897 0.377 0.627
-1.277 3.118 4.695
-5.006 4.707 2.589
-2.564 2.427 -1.473
-4.846 -0.580 1.345
-4.067 3.585 0.929
-0.999 3.725 1.761
-4.339 2.657 4.689
-5.626 1.966 -1.479
-2.836 1.499 2.287
-3.239 5.834 -0.891
-3.664 -0.750 4.107
-1.075 4.955 1.345
-5.058 4.357 1.337
-5.828 0.129 1.871
-1.845 0.727 1.879
-2.924 3.681 3.188
-3.979 1.403 0.028

***

# 2
TlZn3C4O12 PBE-GGA optimized geometry; VASP energy = -6.4149 eV per atom; space-group type = No. 155; theoretical density = 4.82 Mg/m³; uncorrected formation energy = -1.286 eV/atom
1.0
-3.394 -1.740 4.933
4.981 -3.733 0.353
2.279 5.530 1.760
O C Zn Tl
12 4 3 1
Cartesian
0.829 3.813 4.098
3.052 -0.237 2.911
4.810 2.136 1.747
5.355 -0.785 1.651
-0.384 -2.941 4.819
1.572 1.266 3.711
1.175 -0.942 3.946
-1.229 1.897 5.064
-1.469 -0.277 5.571
3.993 -3.253 2.598
3.503 3.620 2.811
1.992 -3.950 3.344
4.532 3.360 2.069
-1.904 0.942 5.621
1.933 0.029 3.523
3.172 -4.215 2.878
-0.330 2.188 3.219
3.739 0.527 1.000
0.457 -2.656 2.827
0.000 0.000 0.000

***

# 3
Tm6CO12 PBE-GGA optimized geometry; VASP energy = -7.6612 eV per atom; space-group type = No. 148; theoretical density = 8.58 Mg/m³; uncorrected formation energy = -2.632 eV/atom
1.0
-5.552 -1.505 2.468
0.428 -4.572 -4.253
3.704 -2.447 4.413
O Tm C
12 6 1
Cartesian
0.107 -4.702 3.305
-1.527 -3.822 -0.677
-3.580 -5.439 -2.063
-2.839 -4.791 1.424
2.161 -3.085 4.691
-1.613 -2.779 2.659
-2.468 -3.311 5.441
1.048 -5.212 -2.814
3.645 -5.677 1.069
-5.065 -2.847 1.558
0.194 -5.745 -0.032
1.420 -3.733 1.204
-2.016 -4.790 3.510
1.289 -5.869 1.797
-2.708 -2.655 0.830
0.616 -2.595 2.822
0.597 -3.733 -0.883
-2.035 -5.929 -0.194
0.000 0.000 0.000

***

# 4
Tm2CO PBE-GGA optimized geometry; VASP energy = -7.5990 eV per atom; space-group type = No. 15; offset from the most stable computed form = 0.0 meV/atom; theoretical density = 10.46 Mg/m³; uncorrected formation energy = -1.818 eV/atom
1.0
5.782 0.280 -1.517
-2.759 5.102 -1.524
-0.019 -0.039 7.698
C Tm O
4 8 4
Cartesian
3.513 3.749 0.401
-0.509 1.594 4.256
4.520 0.537 -0.378
-1.516 4.807 5.035
4.925 1.166 5.031
1.573 0.382 4.258
2.425 1.724 -0.371
3.185 3.076 2.711
-0.181 2.267 1.946
1.431 4.962 0.399
-1.921 4.178 -0.374
0.579 3.619 5.028
0.996 4.274 2.710
2.750 2.387 5.018
2.008 1.069 1.947
0.255 2.956 -0.361

***

# 5
Tm3C2O PBE-GGA optimized geometry; VASP energy = -7.3920 eV per atom; space-group type = No. 71; theoretical density = 10.24 Mg/m³; uncorrected formation energy = -1.255 eV/atom
1.0
3.342 -0.102 -0.866
-0.394 4.430 -2.044
-0.217 0.061 6.034
Tm C O
3 2 1
Cartesian
2.312 3.649 1.603
0.420 0.739 1.522
1.474 2.164 -1.455
2.517 1.443 2.642
0.215 2.945 0.482
1.671 -0.051 -0.433

***

# 6
Tm8C3O4 PBE-GGA optimized geometry; VASP energy = -7.2376 eV per atom; space-group type = No. 166; theoretical density = 9.75 Mg/m³; uncorrected formation energy = -1.686 eV/atom
1.0
-1.078 6.811 0.329
0.944 3.360 5.956
5.680 4.367 0.637
C Tm O
3 8 4
Cartesian
3.312 3.864 3.297
2.301 5.589 0.483
2.840 2.184 0.319
3.975 10.872 5.239
4.585 7.479 5.059
3.573 9.206 2.242
1.972 5.332 4.681
0.960 7.059 1.864
4.112 5.797 2.077
1.433 8.741 4.846
1.571 3.666 1.684
0.338 6.853 4.082
2.773 7.269 3.462
5.207 7.684 2.842
0.000 0.000 0.000

***

# 7
TmC2O6 PBE-GGA optimized geometry; VASP energy = -7.6493 eV per atom; space-group type = No. 15; theoretical density = 4.40 Mg/m³; uncorrected formation energy = -1.797 eV/atom
1.0
-1.639 -1.617 -5.739
1.839 -5.814 -0.618
-4.910 -3.426 1.545
O C Tm
12 4 2
Cartesian
-2.034 -8.249 -4.905
-2.675 -2.608 0.093
0.939 -5.516 -1.565
-0.374 -4.751 -3.291
-0.419 -2.851 -0.280
-0.188 -6.878 -2.964
-5.649 -5.342 -3.247
-4.291 -8.006 -4.532
-4.335 -6.106 -1.521
-4.522 -3.979 -1.848
-2.769 -6.426 -4.011
-1.940 -4.431 -0.801
-4.832 -5.158 -2.249
0.123 -5.699 -2.563
-3.058 -7.592 -4.461
-1.652 -3.265 -0.351
-3.982 -4.621 0.348
-0.727 -6.236 -5.160

***

# 8
Tm4CO3 PBE-GGA optimized geometry; VASP energy = -7.6405 eV per atom; space-group type = No. 13; theoretical density = 11.03 Mg/m³; uncorrected formation energy = -2.392 eV/atom
1.0
-0.229 -4.728 3.489
-2.287 -1.331 -5.231
6.155 -1.923 -2.202
O Tm C
6 8 2
Cartesian
2.166 -4.277 1.781
1.146 -2.581 -2.582
3.760 -2.375 -0.493
-0.490 -4.469 -0.294
4.129 -3.513 -3.650
2.493 -5.402 -1.361
-0.053 -5.282 1.949
-1.109 -3.599 -2.472
0.547 -1.741 -4.735
1.596 -3.374 -0.377
3.092 -6.241 0.792
4.748 -4.383 -1.472
2.043 -4.608 -3.567
3.692 -2.700 -5.893
0.744 -1.433 0.586
5.181 -5.219 0.702